Record 1
Density functional theory data (SCAN) for a PBEsol-optimized structure of LiBe2As.

Output
Excess energy over the best structure of this formula in the dataset: 0.000 eV per atom
Total DFT energy (no corrections): -7.777 eV per atom
Volume: 11.33 Å³ per atom
N(E_F): 0.81 states/eV/cell
DFT formation energy: 0.05 eV per atom

Cell and atoms, written as CIF:
```
data_LiBe2As
_space_group_name_H-M_alt 'P 4/m m m'
_space_group_IT_number 123
_space_group_name_Hall '-P 4 2'
_cell_length_a 3.5768
_cell_length_b 3.5768
_cell_length_c 3.5414
_cell_angle_alpha 90.00
_cell_angle_beta 90.00
_cell_angle_gamma 90.00
loop_
_atom_site_label
_atom_site_type_symbol
_atom_site_fract_x
_atom_site_fract_y
_atom_site_fract_z
_atom_site_occupancy
Li1 Li 0.0000 0.0000 0.0000 1
Be1 Be 0.0000 0.5000 0.5000 1
As1 As 0.5000 0.5000 0.0000 1
```


Record 2
Density functional theory data (SCAN) for a PBEsol-optimized structure of LiBeAs.

Output
Total DFT energy (no corrections): -9.451 eV per atom
Volume: 15.91 Å³ per atom
N(E_F): 0.35 states/eV/cell
DFT formation energy: -0.47 eV per atom

Cell and atoms, written as CIF:
```
data_LiBeAs
_space_group_name_H-M_alt 'P -6 m 2'
_space_group_IT_number 187
_space_group_name_Hall 'P -6 2'
_cell_length_a 3.7353
_cell_length_b 3.7353
_cell_length_c 3.9499
_cell_angle_alpha 90.00
_cell_angle_beta 90.00
_cell_angle_gamma 120.00
loop_
_atom_site_label
_atom_site_type_symbol
_atom_site_fract_x
_atom_site_fract_y
_atom_site_fract_z
_atom_site_occupancy
Li1 Li 0.0000 0.0000 0.0000 1
Be1 Be 0.6667 0.3333 0.5000 1
As1 As 0.3333 0.6667 0.5000 1
```


Record 3
Density functional theory data (SCAN) for a PBEsol-optimized structure of LiBe2As.

Output
Excess energy over the best structure of this formula in the dataset: 0.090 eV per atom
Total DFT energy (no corrections): -7.686 eV per atom
Volume: 12.18 Å³ per atom
N(E_F): 0.85 states/eV/cell
DFT formation energy: 0.14 eV per atom

Cell and atoms, written as CIF:
```
data_LiBe2As
_space_group_name_H-M_alt 'P 4/m m m'
_space_group_IT_number 123
_space_group_name_Hall '-P 4 2'
_cell_length_a 3.2076
_cell_length_b 3.2076
_cell_length_c 4.7361
_cell_angle_alpha 90.00
_cell_angle_beta 90.00
_cell_angle_gamma 90.00
loop_
_atom_site_label
_atom_site_type_symbol
_atom_site_fract_x
_atom_site_fract_y
_atom_site_fract_z
_atom_site_occupancy
Li1 Li 0.0000 0.0000 0.0000 1
Be1 Be 0.5000 0.5000 0.2629 1
As1 As 0.0000 0.0000 0.5000 1
```


Record 4
Density functional theory data (SCAN) for a PBEsol-optimized structure of LiBe2As.

Output
Excess energy over the best structure of this formula in the dataset: 0.066 eV per atom
Total DFT energy (no corrections): -7.711 eV per atom
Volume: 11.40 Å³ per atom
N(E_F): 1.33 states/eV/cell
DFT formation energy: 0.11 eV per atom

Cell and atoms, written as CIF:
```
data_LiBe2As
_space_group_name_H-M_alt 'I -4 m 2'
_space_group_IT_number 119
_space_group_name_Hall 'I -4 -2'
_cell_length_a 3.5221
_cell_length_b 3.5221
_cell_length_c 7.3539
_cell_angle_alpha 90.00
_cell_angle_beta 90.00
_cell_angle_gamma 90.00
loop_
_atom_site_label
_atom_site_type_symbol
_atom_site_fract_x
_atom_site_fract_y
_atom_site_fract_z
_atom_site_occupancy
Li1 Li 0.0000 0.0000 0.0000 1
Be1 Be 0.0000 0.0000 0.5000 1
Be2 Be 0.0000 0.5000 0.2500 1
As1 As 0.0000 0.5000 0.7500 1
```